1.
# KGa3Rh, optimized geometry, DFT GGA-PBEsol
# Excess energy over the best structure of this formula in the dataset, eV/atom: 2.046
# Formation enthalpy at 0 K, eV/atom: 1.793
# Total DFT energy (no corrections), eV for the cell shown: -10.33
# N(E_F), states/eV/f.u.: 3.99
data_KGa3Rh
_chemical_formula_sum 'K1 Ga3 Rh1'
_symmetry_space_group_name_H-M 'P m -3 m'
_symmetry_Int_Tables_number 221
_symmetry_space_group_name_Hall '-P 4 2 3'
_cell_length_a 5.1302
_cell_length_b 5.1302
_cell_length_c 5.1302
_cell_angle_alpha 90.00
_cell_angle_beta 90.00
_cell_angle_gamma 90.00
loop_
_atom_site_label
_atom_site_fract_x
_atom_site_fract_y
_atom_site_fract_z
K1 0.0000 0.0000 0.0000
Ga1 0.0000 0.0000 0.5000
Rh1 0.5000 0.5000 0.5000

=====

2.
# KGa3Rh, optimized geometry, DFT GGA-PBEsol
# Excess energy over the best structure of this formula in the dataset, eV/atom: 0.000
# Formation enthalpy at 0 K, eV/atom: -0.253
# Total DFT energy (no corrections), eV for the cell shown: -20.55
# N(E_F), states/eV/f.u.: 3.36
data_KGa3Rh
_chemical_formula_sum 'K1 Ga3 Rh1'
_symmetry_space_group_name_H-M 'P m -3 m'
_symmetry_Int_Tables_number 221
_symmetry_space_group_name_Hall '-P 4 2 3'
_cell_length_a 4.7987
_cell_length_b 4.7987
_cell_length_c 4.7987
_cell_angle_alpha 90.00
_cell_angle_beta 90.00
_cell_angle_gamma 90.00
loop_
_atom_site_label
_atom_site_fract_x
_atom_site_fract_y
_atom_site_fract_z
K1 0.0000 0.0000 0.0000
Ga1 0.0000 0.5000 0.5000
Rh1 0.5000 0.5000 0.5000

=====

3.
# KSrGa2Rh, optimized geometry, DFT GGA-PBEsol
# Formation enthalpy at 0 K, eV/atom: -0.216
# Total DFT energy (no corrections), eV for the cell shown: -18.87
# N(E_F), states/eV/f.u.: 2.69
data_KSrGa2Rh
_chemical_formula_sum 'K1 Sr1 Ga2 Rh1'
_symmetry_space_group_name_H-M 'P 4/m m m'
_symmetry_Int_Tables_number 123
_symmetry_space_group_name_Hall '-P 4 2'
_cell_length_a 4.8914
_cell_length_b 4.8914
_cell_length_c 5.5008
_cell_angle_alpha 90.00
_cell_angle_beta 90.00
_cell_angle_gamma 90.00
loop_
_atom_site_label
_atom_site_fract_x
_atom_site_fract_y
_atom_site_fract_z
K1 0.0000 0.0000 0.0000
Sr1 0.5000 0.5000 0.0000
Ga1 0.0000 0.5000 0.5000
Rh1 0.5000 0.5000 0.5000

=====

4.
# KGa3Ru, optimized geometry, DFT GGA-PBEsol
# Formation enthalpy at 0 K, eV/atom: -0.249
# Total DFT energy (no corrections), eV for the cell shown: -22.57
# N(E_F), states/eV/f.u.: 0.82
data_KGa3Ru
_chemical_formula_sum 'K1 Ga3 Ru1'
_symmetry_space_group_name_H-M 'P m -3 m'
_symmetry_Int_Tables_number 221
_symmetry_space_group_name_Hall '-P 4 2 3'
_cell_length_a 4.7955
_cell_length_b 4.7955
_cell_length_c 4.7955
_cell_angle_alpha 90.00
_cell_angle_beta 90.00
_cell_angle_gamma 90.00
loop_
_atom_site_label
_atom_site_fract_x
_atom_site_fract_y
_atom_site_fract_z
K1 0.0000 0.0000 0.0000
Ga1 0.0000 0.5000 0.5000
Ru1 0.5000 0.5000 0.5000

=====

5.
# K3GaS3, optimized geometry, DFT GGA-PBEsol
# Raw formation energy, eV per formula unit: -7.93
# Total DFT energy (no corrections), eV for the cell shown: -111.31
# N(E_F), states/eV/f.u.: 0.00
data_K3GaS3
_chemical_formula_sum 'K12 Ga4 S12'
_symmetry_space_group_name_H-M 'P 1 21/c 1'
_symmetry_Int_Tables_number 14
_cell_length_a 7.6944
_cell_length_b 12.5802
_cell_length_c 9.9163
_cell_angle_alpha 90.00
_cell_angle_beta 127.25
_cell_angle_gamma 90.00
loop_
_symmetry_equiv_pos_as_xyz
'x,y,z'
'-x,-y,-z'
'-x,y+1/2,-z+1/2'
'x,-y+1/2,z+1/2'
loop_
_atom_site_label
_atom_site_fract_x
_atom_site_fract_y
_atom_site_fract_z
K1 0.1263 0.1187 0.4735
K2 0.1715 0.1027 0.8956
K3 0.3479 0.6864 0.5662
Ga1 0.4401 0.0642 0.3369
S1 0.1721 0.1868 0.1974
S2 0.3324 0.6008 0.8703
S3 0.3704 0.5479 0.2667

=====

6.
# KGaS2, optimized geometry, DFT GGA-PBEsol
# Raw formation energy, eV per formula unit: -4.07
# Total DFT energy (no corrections), eV for the cell shown: -69.23
# N(E_F), states/eV/f.u.: 0.00
data_KGaS2
_chemical_formula_sum 'K4 Ga4 S8'
_symmetry_space_group_name_H-M 'C 1 2/c 1'
_symmetry_Int_Tables_number 15
_cell_length_a 8.0155
_cell_length_b 10.2095
_cell_length_c 5.9849
_cell_angle_alpha 90.00
_cell_angle_beta 121.21
_cell_angle_gamma 90.00
loop_
_symmetry_equiv_pos_as_xyz
'x,y,z'
'-x,-y,-z'
'-x,y,-z+1/2'
'x,-y,z+1/2'
'x+1/2,y+1/2,z'
'-x+1/2,-y+1/2,-z'
'-x+1/2,y+1/2,-z+1/2'
'x+1/2,-y+1/2,z+1/2'
loop_
_atom_site_label
_atom_site_fract_x
_atom_site_fract_y
_atom_site_fract_z
K1 0.0000 0.1296 0.2500
Ga1 0.0000 0.4912 0.7500
S1 0.1859 0.3853 0.1394